[1]
# SmDyBr6

A relaxed SmDyBr6 crystal (PBE, Alexandria via LeMat-Bulk).

Calculated values
Formation energy from raw total energies: -14.596 eV/f.u.
Space-group type: No. 148
Relative energy among the computed polymorphs: 16 meV/atom

a = 7.126 Å, b = 7.127 Å, c = 7.672 Å
α = 62.33°, β = 62.33°, γ = 60.00°
Sites, in units of the cell vectors:
Sm: 0.000 0.000 0.000
Dy: 0.500 0.500 0.500
Br: 0.096 0.410 0.747
Br: 0.746 0.096 0.747
Br: 0.590 0.254 0.253
Br: 0.254 0.904 0.253
Br: 0.904 0.590 0.253
Br: 0.410 0.746 0.747



[2]
# AcLaNdPt2

A relaxed AcLaNdPt2 crystal (PBE, Alexandria via LeMat-Bulk).

Calculated values
Formation enthalpy at 0 K: -446 kJ/mol of formula units
Space-group type: No. 12

a = 4.631 Å, b = 9.137 Å, c = 8.013 Å
α = 86.64°, β = 73.21°, γ = 75.32°
Sites, in units of the cell vectors:
Ac: 0.819 0.727 0.635
Ac: 0.181 0.273 0.365
La: 0.388 0.370 0.854
La: 0.612 0.630 0.146
Nd: 0.087 0.043 0.783
Nd: 0.913 0.957 0.217
Pt: 0.348 0.882 0.423
Pt: 0.652 0.118 0.577
Pt: 0.819 0.282 0.079
Pt: 0.181 0.718 0.921



[3]
# Ta2FeSe

A relaxed Ta2FeSe crystal (PBE, Alexandria via LeMat-Bulk).

Calculated values
Formation energy from raw total energies: 0.586 eV/f.u.
Space-group type: No. 139

a = 4.643 Å, b = 4.643 Å, c = 4.643 Å
α = 125.59°, β = 125.59°, γ = 80.57°
Last column: magnetic moment on the atom in μB.
Sites, in units of the cell vectors:
Fe: 0.250 0.750 0.500  1.94
Se: 0.750 0.250 0.500  0.03
Ta: 0.000 0.000 0.000  -0.09
Ta: 0.500 0.500 0.000  -0.09



[4]
# BaVCdC2

A relaxed BaVCdC2 crystal (PBE, Alexandria via LeMat-Bulk).

Calculated values
Formation enthalpy at 0 K: 1381 kJ/mol of formula units
Space-group type: No. 123

a = 4.426 Å, b = 5.760 Å, c = 4.426 Å
α = 90.00°, β = 90.00°, γ = 90.00°
Last column: magnetic moment on the atom in μB.
Sites, in units of the cell vectors:
C: 0.000 0.000 0.500  0.02
C: 0.500 0.000 0.000  0.02
V: 0.500 0.500 0.500  0.10
Ba: 0.000 0.500 0.000  0.04
Cd: 0.000 0.000 0.000  0.00



[5]
# Ac2HoZrO6

A relaxed Ac2HoZrO6 crystal (PBE, Alexandria via LeMat-Bulk).

Calculated values
Formation energy from raw total energies: -32.699 eV/f.u.
Space-group type: No. 14

a = 6.040 Å, b = 6.082 Å, c = 8.491 Å
α = 90.00°, β = 90.46°, γ = 90.00°
Last column: magnetic moment on the atom in μB.
Sites, in units of the cell vectors:
Ac: 0.010 0.942 0.246  0.06
Ac: 0.510 0.558 0.746  0.06
Ac: 0.990 0.058 0.754  0.06
Ac: 0.490 0.442 0.254  0.06
Ho: 0.500 0.000 0.000  0.07
Ho: 0.000 0.500 0.500  0.07
Zr: 0.500 0.000 0.500  0.50
Zr: 0.000 0.500 0.000  0.50
O: 0.300 0.693 0.052  0.00
O: 0.800 0.807 0.552  0.00
O: 0.700 0.307 0.948  0.00
O: 0.200 0.193 0.448  0.00
O: 0.303 0.703 0.441  0.00
O: 0.803 0.797 0.941  0.00
O: 0.697 0.297 0.559  0.00
O: 0.197 0.203 0.059  0.00
O: 0.895 0.528 0.245  0.00
O: 0.395 0.972 0.745  0.00
O: 0.105 0.472 0.755  0.00
O: 0.605 0.028 0.255  0.00



[6]
# Y3CdRu

A relaxed Y3CdRu crystal (PBE, Alexandria via LeMat-Bulk).

Calculated values
Formation enthalpy at 0 K: -165 kJ/mol of formula units
Space-group type: No. 2
Relative energy among the computed polymorphs: 0 meV/atom

a = 5.593 Å, b = 6.490 Å, c = 8.735 Å
α = 111.75°, β = 79.78°, γ = 118.54°
Sites, in units of the cell vectors:
Y: 0.500 0.802 0.103
Y: 0.135 0.418 0.727
Y: 0.866 0.809 0.726
Y: 0.134 0.191 0.274
Y: 0.500 0.198 0.897
Y: 0.865 0.582 0.273
Cd: 0.580 0.236 0.500
Cd: 0.420 0.764 0.500
Ru: 0.000 0.751 0.002
Ru: 0.000 0.249 0.998



[7]
# SrDy2Hg

A relaxed SrDy2Hg crystal (PBE, Alexandria via LeMat-Bulk).

Calculated values
Formation enthalpy at 0 K: -40 kJ/mol of formula units
Space-group type: No. 123
Relative energy among the computed polymorphs: 0 meV/atom

a = 3.781 Å, b = 3.781 Å, c = 9.468 Å
α = 90.00°, β = 90.00°, γ = 90.00°
Sites, in units of the cell vectors:
Sr: 0.500 0.500 0.500
Hg: 0.500 0.500 0.000
Dy: 0.000 0.000 0.815
Dy: 0.000 0.000 0.185



[8]
# Li2MnGa2

A relaxed Li2MnGa2 crystal (PBE, Alexandria via LeMat-Bulk).

Calculated values
Formation enthalpy at 0 K: 71 kJ/mol of formula units
Space-group type: No. 127
Relative energy among the computed polymorphs: 310 meV/atom

a = 6.987 Å, b = 6.987 Å, c = 2.716 Å
α = 90.00°, β = 90.00°, γ = 90.00°
Sites, in units of the cell vectors:
Mn: 0.000 0.000 0.000
Mn: 0.500 0.500 0.000
Ga: 0.349 0.849 0.000
Ga: 0.849 0.651 0.000
Ga: 0.651 0.151 0.000
Ga: 0.151 0.349 0.000
Li: 0.150 0.650 0.500
Li: 0.650 0.850 0.500
Li: 0.850 0.350 0.500
Li: 0.350 0.150 0.500



For each record above, in turn, the calculated N(E_F) values are 0.00, 4.41, 2.95, 8.74, 2.29, 3.67, 5.64, 3.86 states/eV/f.u..